# 1
Computed, not measured: crystalline Ac2ErSe2S2 at its relaxed geometry at the GGA-PBE level of DFT.

The space group is I4/mmm (No. 139) and the conventional cell measures 5.051, 5.051 and 15.775 Å, with angles of 90.00, 90.00 and 90.00 degrees. The distinct sites, in fractional coordinates, are Ac at (0.000, 0.000, 0.130), Er at (0.000, 0.000, 0.500), Se at (0.000, 0.000, 0.321) and S at (0.000, 0.500, 0.000).

As for the energy relative to the elements, uncorrected: -1.87 eV/atom.

# 2
Computed, not measured: crystalline SrTcBiMo2 at its relaxed geometry at the GGA-PBE level of DFT.

The space group is P4/mmm (No. 123) and the conventional cell measures 4.972, 4.972 and 4.842 Å, with angles of 90.00, 90.00 and 90.00 degrees. The distinct sites, in fractional coordinates, are Sr at (0.000, 0.000, 0.000), Tc at (0.000, 0.000, 0.500), Bi at (0.500, 0.500, 0.500) and Mo at (0.000, 0.500, 0.000).

The value obtained for the formation energy is 2746 meV/atom.